# 1
{
  "formula": "KLiZr2",
  "functional": "PBE",
  "state": "optimized geometry",
  "energy_ev_per_cell": -15.55,
  "density_kg_m3": 3801,
  "total_magnetization_mub_per_fu": 0.00,
  "formation_enthalpy_0k_ev_per_atom": 1.14,
  "crystal_system": "cubic",
  "cell": [[0.0000, 3.6818, 3.6818], [3.6818, 0.0000, 3.6818], [3.6818, 3.6818, 0.0000]],
  "species": ["K", "Li", "Zr", "Zr"],
  "frac_coords": [[0.0000, 0.0000, 0.0000], [0.5000, 0.5000, 0.5000], [0.2500, 0.2500, 0.2500], [0.7500, 0.7500, 0.7500]]
}

***

# 2
{
  "formula": "ZrTe2Br",
  "functional": "PBE",
  "state": "optimized geometry",
  "energy_ev_per_cell": -15.69,
  "density_kg_m3": 5993,
  "total_magnetization_mub_per_fu": 0.00,
  "crystal_system": "trigonal",
  "raw_formation_energy_mev_per_atom": 203,
  "cell": [[1.6127, 0.9311, 13.1117], [-1.6127, 0.9311, 13.1117], [0.0000, -1.8622, 13.1117]],
  "species": ["Zr", "Te", "Te", "Br"],
  "frac_coords": [[0.0000, 0.0000, 0.0000], [0.0747, 0.0747, 0.0747], [0.9253, 0.9253, 0.9253], [0.5000, 0.5000, 0.5000]]
}

***

# 3
{
  "formula": "PmDyRhAu",
  "functional": "PBE",
  "state": "optimized geometry",
  "energy_ev_per_cell": -23.04,
  "density_kg_m3": 11144,
  "total_magnetization_mub_per_fu": 0.00,
  "formation_enthalpy_0k_ev_per_atom": -0.77,
  "crystal_system": "cubic",
  "cell": [[0.0000, 3.5636, 3.5636], [3.5636, 0.0000, 3.5636], [3.5636, 3.5636, 0.0000]],
  "species": ["Pm", "Dy", "Rh", "Au"],
  "frac_coords": [[0.0000, 0.0000, 0.0000], [0.5000, 0.5000, 0.5000], [0.7500, 0.7500, 0.7500], [0.2500, 0.2500, 0.2500]]
}

***

Number 1: offset from the most stable computed form 826.9 meV/atom. Number 2: offset from the most stable computed form 942.4 meV/atom. Number 3: offset from the most stable computed form 49.5 meV/atom.